1.
VASP calculation (PBE-GGA) on a geometry-optimized PPdPtO2 structure.

CIF file:
```
data_PPdPtO2
_cell_length_a 3.720
_cell_length_b 3.720
_cell_length_c 5.637
_cell_angle_alpha 90.00
_cell_angle_beta 90.00
_cell_angle_gamma 90.00
_symmetry_space_group_name_H-M 'P 1'
_symmetry_Int_Tables_number 1
loop_
_symmetry_equiv_pos_as_xyz
'x,y,z'
loop_
_atom_site_label
_atom_site_fract_x
_atom_site_fract_y
_atom_site_fract_z
O1 0.000 0.500 0.000
O2 0.500 0.000 0.000
P1 0.000 0.000 0.500
Pd1 0.000 0.000 0.000
Pt1 0.500 0.500 0.500
```

Calculated values
For the energy above the lowest structure with this stoichiometry, the calculation gives 1.020 eV/f.u. As for the symmetry: No. 123. For the final energy, the calculation gives -24.33 eV per formula unit. As for the formation energy without anion corrections: 43 kJ/mol of atoms.

2.
VASP calculation (PBE-GGA) on a geometry-optimized LiPrSc2Te4 structure.

CIF file:
```
data_LiPrSc2Te4
_cell_length_a 4.250
_cell_length_b 7.399
_cell_length_c 7.511
_cell_angle_alpha 108.85
_cell_angle_beta 90.00
_cell_angle_gamma 90.00
_symmetry_space_group_name_H-M 'P 1'
_symmetry_Int_Tables_number 1
loop_
_symmetry_equiv_pos_as_xyz
'x,y,z'
loop_
_atom_site_label
_atom_site_fract_x
_atom_site_fract_y
_atom_site_fract_z
Li1 0.500 0.500 0.000
Pr1 0.000 0.000 0.000
Sc1 0.500 0.000 0.500
Sc2 0.000 0.500 0.500
Te1 0.500 0.268 0.269
Te2 0.500 0.732 0.731
Te3 0.000 0.255 0.737
Te4 0.000 0.745 0.263
```

Calculated values
As for the symmetry: No. 10. For the final energy, the calculation gives -41.73 eV per formula unit. As for the formation energy without anion corrections: -118 kJ/mol of atoms.

3.
VASP calculation (PBE-GGA) on a geometry-optimized LaMg2Al structure.

CIF file:
```
data_LaMg2Al
_cell_length_a 5.007
_cell_length_b 3.302
_cell_length_c 6.230
_cell_angle_alpha 79.86
_cell_angle_beta 90.00
_cell_angle_gamma 90.00
_symmetry_space_group_name_H-M 'P 1'
_symmetry_Int_Tables_number 1
loop_
_symmetry_equiv_pos_as_xyz
'x,y,z'
loop_
_atom_site_label
_atom_site_fract_x
_atom_site_fract_y
_atom_site_fract_z
Al1 0.500 0.250 0.250
La1 0.500 0.750 0.750
Mg1 0.000 0.103 0.028
Mg2 0.000 0.397 0.472
```

Calculated values
The energy of formation from the pure elements comes out at -73 meV per atom. As for the symmetry: No. 10. For the final energy, the calculation gives -12.15 eV per formula unit.

4.
VASP calculation (PBE-GGA) on a geometry-optimized HfScS2 structure.

CIF file:
```
data_HfScS2
_cell_length_a 3.484
_cell_length_b 3.484
_cell_length_c 6.964
_cell_angle_alpha 75.51
_cell_angle_beta 75.51
_cell_angle_gamma 60.00
_symmetry_space_group_name_H-M 'P 1'
_symmetry_Int_Tables_number 1
loop_
_symmetry_equiv_pos_as_xyz
'x,y,z'
loop_
_atom_site_label
_atom_site_fract_x
_atom_site_fract_y
_atom_site_fract_z
Hf1 0.499 0.499 0.502
Sc1 0.667 0.667 0.999
S1 0.084 0.084 0.748
S2 0.250 0.250 0.250
```

Calculated values
For the energy above the lowest structure with this stoichiometry, the calculation gives 0.000 eV/f.u. As for the symmetry: No. 160. For the final energy, the calculation gives -30.86 eV per formula unit. As for the formation energy without anion corrections: -152 kJ/mol of atoms.

5.
VASP calculation (PBE-GGA) on a geometry-optimized FeAu2C structure.

CIF file:
```
data_FeAu2C
_cell_length_a 4.945
_cell_length_b 4.945
_cell_length_c 6.984
_cell_angle_alpha 69.27
_cell_angle_beta 69.27
_cell_angle_gamma 90.00
_symmetry_space_group_name_H-M 'P 1'
_symmetry_Int_Tables_number 1
loop_
_symmetry_equiv_pos_as_xyz
'x,y,z'
loop_
_atom_site_label
_atom_site_fract_x
_atom_site_fract_y
_atom_site_fract_z
C1 0.500 0.500 0.000
C2 0.250 0.750 0.500
Au1 0.527 0.125 0.250
Au2 0.223 0.625 0.250
Au3 0.375 0.473 0.750
Au4 0.875 0.777 0.750
Fe1 0.000 0.000 0.000
Fe2 0.750 0.250 0.500
```

Calculated values
The energy of formation from the pure elements comes out at 1301 meV per atom. As for the symmetry: No. 122. For the final energy, the calculation gives -19.04 eV per formula unit.

6.
VASP calculation (PBE-GGA) on a geometry-optimized BiPtS2N structure.

CIF file:
```
data_BiPtS2N
_cell_length_a 5.046
_cell_length_b 5.046
_cell_length_c 3.715
_cell_angle_alpha 90.00
_cell_angle_beta 90.00
_cell_angle_gamma 90.00
_symmetry_space_group_name_H-M 'P 1'
_symmetry_Int_Tables_number 1
loop_
_symmetry_equiv_pos_as_xyz
'x,y,z'
loop_
_atom_site_label
_atom_site_fract_x
_atom_site_fract_y
_atom_site_fract_z
S1 0.000 0.500 0.000
S2 0.500 0.000 0.000
Bi1 0.500 0.500 0.500
Pt1 0.000 0.000 0.000
N1 0.000 0.000 0.500
```

Calculated values
For the energy above the lowest structure with this stoichiometry, the calculation gives 0.000 eV/f.u. As for the symmetry: No. 123. For the final energy, the calculation gives -24.43 eV per formula unit. As for the formation energy without anion corrections: 40 kJ/mol of atoms.

7.
VASP calculation (PBE-GGA) on a geometry-optimized InSbIr structure.

CIF file:
```
data_InSbIr
_cell_length_a 6.710
_cell_length_b 6.710
_cell_length_c 3.184
_cell_angle_alpha 76.27
_cell_angle_beta 76.28
_cell_angle_gamma 27.44
_symmetry_space_group_name_H-M 'P 1'
_symmetry_Int_Tables_number 1
loop_
_symmetry_equiv_pos_as_xyz
'x,y,z'
loop_
_atom_site_label
_atom_site_fract_x
_atom_site_fract_y
_atom_site_fract_z
In1 0.976 0.976 0.024
Ir1 0.327 0.327 0.673
Sb1 0.697 0.697 0.303
```

Calculated values
As for the symmetry: No. 107. For the final energy, the calculation gives -15.57 eV per formula unit. As for the formation energy without anion corrections: 5 kJ/mol of atoms.

8.
VASP calculation (PBE-GGA) on a geometry-optimized K4CaPu3O8 structure.

CIF file:
```
data_K4CaPu3O8
_cell_length_a 7.099
_cell_length_b 7.469
_cell_length_c 7.099
_cell_angle_alpha 118.36
_cell_angle_beta 120.00
_cell_angle_gamma 90.00
_symmetry_space_group_name_H-M 'P 1'
_symmetry_Int_Tables_number 1
loop_
_symmetry_equiv_pos_as_xyz
'x,y,z'
loop_
_atom_site_label
_atom_site_fract_x
_atom_site_fract_y
_atom_site_fract_z
K1 0.500 0.000 0.000
K2 0.500 0.000 0.500
K3 0.000 0.000 0.000
K4 0.000 0.000 0.500
Ca1 0.000 0.500 0.000
Pu1 0.500 0.500 0.000
Pu2 0.500 0.500 0.500
Pu3 0.000 0.500 0.500
O1 0.235 0.685 0.950
O2 0.235 0.685 0.470
O3 0.270 0.310 0.540
O4 0.715 0.685 0.950
O5 0.285 0.315 0.050
O6 0.730 0.690 0.460
O7 0.765 0.315 0.530
O8 0.765 0.315 0.050
```

Calculated values
As for the symmetry: No. 166. For the final energy, the calculation gives -128.08 eV per formula unit. As for the formation energy without anion corrections: -235 kJ/mol of atoms.

9.
VASP calculation (PBE-GGA) on a geometry-optimized CdCu2W structure.

CIF file:
```
data_CdCu2W
_cell_length_a 4.236
_cell_length_b 2.702
_cell_length_c 5.419
_cell_angle_alpha 75.35
_cell_angle_beta 90.00
_cell_angle_gamma 90.00
_symmetry_space_group_name_H-M 'P 1'
_symmetry_Int_Tables_number 1
loop_
_symmetry_equiv_pos_as_xyz
'x,y,z'
loop_
_atom_site_label
_atom_site_fract_x
_atom_site_fract_y
_atom_site_fract_z
Cd1 0.500 0.796 0.783
Cu1 0.000 0.190 0.997
Cu2 0.500 0.056 0.265
W1 0.000 0.458 0.455
```

Calculated values
The energy of formation from the pure elements comes out at 408 meV per atom. As for the symmetry: No. 6. For the final energy, the calculation gives -20.43 eV per formula unit.

10.
VASP calculation (PBE-GGA) on a geometry-optimized BeTlMo2 structure.

CIF file:
```
data_BeTlMo2
_cell_length_a 3.955
_cell_length_b 2.836
_cell_length_c 6.245
_cell_angle_alpha 69.19
_cell_angle_beta 90.00
_cell_angle_gamma 90.00
_symmetry_space_group_name_H-M 'P 1'
_symmetry_Int_Tables_number 1
loop_
_symmetry_equiv_pos_as_xyz
'x,y,z'
loop_
_atom_site_label
_atom_site_fract_x
_atom_site_fract_y
_atom_site_fract_z
Be1 0.500 0.750 0.750
Tl1 0.500 0.250 0.250
Mo1 0.000 0.979 0.949
Mo2 0.000 0.521 0.551
```

Calculated values
For the energy above the lowest structure with this stoichiometry, the calculation gives 0.777 eV/f.u. The energy of formation from the pure elements comes out at 557 meV per atom. As for the symmetry: No. 10. For the final energy, the calculation gives -25.53 eV per formula unit.

11.
VASP calculation (PBE-GGA) on a geometry-optimized Tb4IrRu structure.

CIF file:
```
data_Tb4IrRu
_cell_length_a 6.338
_cell_length_b 7.498
_cell_length_c 7.892
_cell_angle_alpha 114.13
_cell_angle_beta 108.85
_cell_angle_gamma 99.50
_symmetry_space_group_name_H-M 'P 1'
_symmetry_Int_Tables_number 1
loop_
_symmetry_equiv_pos_as_xyz
'x,y,z'
loop_
_atom_site_label
_atom_site_fract_x
_atom_site_fract_y
_atom_site_fract_z
Tb1 0.007 0.241 0.873
Tb2 0.790 0.693 0.647
Tb3 0.366 0.632 0.873
Tb4 0.357 0.954 0.647
Tb5 0.643 0.046 0.353
Tb6 0.634 0.368 0.127
Tb7 0.210 0.307 0.353
Tb8 0.993 0.759 0.127
Ir1 0.385 0.635 0.270
Ir2 0.615 0.365 0.730
Ru1 0.251 0.001 0.002
Ru2 0.749 0.999 0.998
```

Calculated values
For the energy above the lowest structure with this stoichiometry, the calculation gives 0.000 eV/f.u. The energy of formation from the pure elements comes out at -527 meV per atom. As for the symmetry: No. 15. For the final energy, the calculation gives -39.82 eV per formula unit.

12.
VASP calculation (PBE-GGA) on a geometry-optimized BiPd2Au5 structure.

CIF file:
```
data_BiPd2Au5
_cell_length_a 4.042
_cell_length_b 6.039
_cell_length_c 12.154
_cell_angle_alpha 90.00
_cell_angle_beta 90.00
_cell_angle_gamma 90.00
_symmetry_space_group_name_H-M 'P 1'
_symmetry_Int_Tables_number 1
loop_
_symmetry_equiv_pos_as_xyz
'x,y,z'
loop_
_atom_site_label
_atom_site_fract_x
_atom_site_fract_y
_atom_site_fract_z
Bi1 0.000 0.000 0.500
Bi2 0.000 0.500 0.000
Pd1 0.500 0.243 0.625
Pd2 0.500 0.757 0.375
Pd3 0.500 0.257 0.125
Pd4 0.500 0.743 0.875
Au1 0.000 0.000 0.000
Au2 0.000 0.500 0.500
Au3 0.000 0.483 0.747
Au4 0.000 0.517 0.253
Au5 0.000 0.017 0.247
Au6 0.000 0.983 0.753
Au7 0.500 0.228 0.866
Au8 0.500 0.772 0.134
Au9 0.500 0.272 0.366
Au10 0.500 0.728 0.634
```

Calculated values
The energy of formation from the pure elements comes out at -72 meV per atom. As for the symmetry: No. 55. For the final energy, the calculation gives -31.23 eV per formula unit.